[1]
Entry from Alexandria via LeMat-Bulk: NaAcMgTl after structural relaxation (PBE).

Structure (POSCAR):
```
NaAcMgTl
1.0
-3.7096 3.2447 2.5608
-0.3387 -0.0090 5.5437
1.7079 4.4223 2.8937
Na Mg Ac Tl
1 1 1 1
direct
0.0000 0.0000 0.0000
0.7500 0.7500 0.7500
0.2500 0.2500 0.2500
0.5000 0.5000 0.5000
```

Properties
Total energy, eV/atom: -2.4372
Formation energy from the elements, eV/atom: -0.09

---

[2]
Entry from Alexandria via LeMat-Bulk: Pr6GaTe5 after structural relaxation (PBE).

Structure (POSCAR):
```
Pr6GaTe5
1.0
7.6799 -0.1009 -1.4455
-4.1336 6.4734 -1.4455
0.1461 0.2626 7.8170
Te Pr Ga
5 6 1
direct
0.3347 0.6653 0.0000
0.8270 0.1730 0.5000
0.6653 0.3347 0.0000
0.1730 0.8270 0.5000
0.5000 0.5000 0.5000
0.6067 0.9217 0.7630
0.2327 0.2327 0.7595
0.0783 0.3933 0.2370
0.3933 0.0783 0.2370
0.9217 0.6067 0.7630
0.7673 0.7673 0.2405
0.0000 0.0000 0.0000
```

Properties
Total energy, eV/atom: -5.2946

---

Fermi-level density of states / states/eV per cell: 3.2 6.0